[1]
Here is a relaxed Mg3Nb6O11 crystal from the Alexandria database. Energies are from GGA-PBE.

Values from the calculation:
Crystal system   trigonal
Formation energy without anion corrections   -2.392 eV/atom

a b c (Å): 6.1160 6.1160 7.5548
angles (deg): 90.00 90.00 120.00
Atoms (fractional coordinates):
Mg 0.0000 0.0000 0.5000
Mg 0.3333 0.6667 0.5769
Mg 0.6667 0.3333 0.4231
Nb 0.1544 0.8456 0.1528
Nb 0.1544 0.3089 0.1528
Nb 0.6911 0.8456 0.1528
Nb 0.3089 0.1544 0.8472
Nb 0.8456 0.6911 0.8472
Nb 0.8456 0.1544 0.8472
O 0.5000 0.5000 0.0000
O 0.5000 0.0000 0.0000
O 0.0000 0.5000 0.0000
O 0.1560 0.8440 0.6733
O 0.1560 0.3120 0.6733
O 0.6880 0.8440 0.6733
O 0.3120 0.1560 0.3267
O 0.8440 0.6880 0.3267
O 0.8440 0.1560 0.3267
O 0.3333 0.6667 0.3135
O 0.6667 0.3333 0.6865


[2]
Here is a relaxed MgNbO2 crystal from the Alexandria database. Energies are from GGA-PBE.

Values from the calculation:
Crystal system   trigonal
Formation energy without anion corrections   -2.069 eV/atom

a b c (Å): 6.3009 6.3009 6.3009
angles (deg): 28.41 28.41 28.41
Atoms (fractional coordinates):
Nb 0.0000 0.0000 0.0000
Mg 0.5000 0.5000 0.5000
O 0.8931 0.8931 0.8931
O 0.1069 0.1069 0.1069


[3]
Here is a relaxed MgNb3O8 crystal from the Alexandria database. Energies are from GGA-PBE.

Values from the calculation:
Crystal system   monoclinic
Formation energy without anion corrections   -2.564 eV/atom

a b c (Å): 3.9463 6.8675 6.7556
angles (deg): 106.29 106.98 90.00
Each line ends with the local moment (μB).
Atoms (fractional coordinates):
Mg 0.3033 0.6979 0.6066  0.00
Nb 0.3973 0.2733 0.7946  0.23
Nb 0.6990 0.3028 0.3979  0.38
Nb 0.6026 0.7161 0.2052  0.01
O 0.4500 0.6278 0.9001  0.00
O 0.3646 0.0005 0.7293  -0.01
O 0.8645 0.3077 0.7289  0.01
O 0.2426 0.3390 0.4851  0.01
O 0.7489 0.6283 0.4978  0.00
O 0.1310 0.7113 0.2621  0.00
O 0.5556 0.3536 0.1112  -0.02
O 0.6389 0.0114 0.2778  -0.01


[4]
Here is a relaxed MgNb2O6 crystal from the Alexandria database. Energies are from GGA-PBE.

Values from the calculation:
Crystal system   orthorhombic
Formation energy without anion corrections   -2.644 eV/atom

a b c (Å): 5.0951 5.8196 14.4041
angles (deg): 90.00 90.00 90.00
Atoms (fractional coordinates):
Mg 0.7500 0.8346 0.0000
Mg 0.2500 0.6654 0.5000
Mg 0.2500 0.1654 0.0000
Mg 0.7500 0.3346 0.5000
Nb 0.7533 0.8165 0.6598
Nb 0.2533 0.6835 0.8402
Nb 0.7467 0.8165 0.3402
Nb 0.2467 0.6835 0.1598
Nb 0.7533 0.3165 0.8402
Nb 0.2533 0.1835 0.6598
Nb 0.7467 0.3165 0.1598
Nb 0.2467 0.1835 0.3402
O 0.4183 0.3741 0.2445
O 0.9183 0.1259 0.2555
O 0.0817 0.3741 0.7555
O 0.5817 0.1259 0.7445
O 0.5817 0.6259 0.7555
O 0.0817 0.8741 0.7445
O 0.9183 0.6259 0.2445
O 0.4183 0.8741 0.2555
O 0.0905 0.3840 0.4213
O 0.5905 0.1160 0.0787
O 0.4095 0.3840 0.5787
O 0.9095 0.1160 0.9213
O 0.5714 0.6060 0.0959
O 0.0714 0.8940 0.4041
O 0.9286 0.6060 0.9041
O 0.4286 0.8940 0.5959
O 0.4286 0.3940 0.9041
O 0.9286 0.1060 0.5959
O 0.0714 0.3940 0.0959
O 0.5714 0.1060 0.4041
O 0.0905 0.8840 0.0787
O 0.5905 0.6160 0.4213
O 0.4095 0.8840 0.9213
O 0.9095 0.6160 0.5787


What did the second record say?
Here is a relaxed MgNbO2 crystal from the Alexandria database. Energies are from GGA-PBE.

Values from the calculation:
Crystal system   trigonal
Formation energy without anion corrections   -2.069 eV/atom

a b c (Å): 6.3009 6.3009 6.3009
angles (deg): 28.41 28.41 28.41
Atoms (fractional coordinates):
Nb 0.0000 0.0000 0.0000
Mg 0.5000 0.5000 0.5000
O 0.8931 0.8931 0.8931
O 0.1069 0.1069 0.1069


Q: Which value of formation energy without anion corrections does entry 4 give?
A: -2.644 eV/atom


Q: Among the records above, which one has the lowest formation energy without anion corrections?
A: MgNb2O6


Q: Which formula does entry 3 have?
A: MgNb3O8